1.
## LiNpBe2H8 (PBE-GGA)

Data for a relaxed structure of LiNpBe2H8.

Computed properties:
Fermi-level density of states: 0.60 states/eV per cell
raw total energy: -4.279 eV per atom

Geometry as CIF:
```
data_LiNpBe2H8
_symmetry_space_group_name_H-M 'P 1'
_symmetry_Int_Tables_number 1
_symmetry_space_group_name_Hall 'P 1'
_cell_length_a 4.436
_cell_length_b 4.436
_cell_length_c 6.561
_cell_angle_alpha 90.00
_cell_angle_beta 90.00
_cell_angle_gamma 120.00
loop_
_atom_site_label
_atom_site_type_symbol
_atom_site_fract_x
_atom_site_fract_y
_atom_site_fract_z
Be1 Be 0.333 0.667 0.725
Be2 Be 0.667 0.333 0.275
H1 H 0.685 0.842 0.783
H2 H 0.158 0.842 0.783
H3 H 0.842 0.685 0.217
H4 H 0.842 0.158 0.217
H5 H 0.158 0.315 0.783
H6 H 0.333 0.667 0.496
H7 H 0.315 0.158 0.217
H8 H 0.667 0.333 0.504
Np1 Np 0.000 0.000 0.500
Li1 Li 0.000 0.000 0.000
```

2.
## Pm2Dy3Er7 (PBE-GGA)

Data for a relaxed structure of Pm2Dy3Er7.

Computed properties:
Fermi-level density of states: 17.76 states/eV per cell
distance to the lowest polymorph of the same formula: 0.040 eV per atom
raw total energy: -4.491 eV per atom

Geometry as CIF:
```
data_Pm2Dy3Er7
_symmetry_space_group_name_H-M 'P 1'
_symmetry_Int_Tables_number 1
_symmetry_space_group_name_Hall 'P 1'
_cell_length_a 3.589
_cell_length_b 5.650
_cell_length_c 18.990
_cell_angle_alpha 98.56
_cell_angle_beta 90.00
_cell_angle_gamma 90.00
loop_
_atom_site_label
_atom_site_type_symbol
_atom_site_fract_x
_atom_site_fract_y
_atom_site_fract_z
Er1 Er 0.000 0.589 0.179
Er2 Er 0.500 0.929 0.858
Er3 Er 0.000 0.230 0.461
Er4 Er 0.500 0.071 0.142
Er5 Er 0.000 0.411 0.821
Er6 Er 0.000 0.000 0.000
Er7 Er 0.000 0.770 0.539
Dy1 Dy 0.500 0.500 0.000
Dy2 Dy 0.500 0.686 0.371
Dy3 Dy 0.500 0.314 0.629
Pm1 Pm 0.000 0.147 0.294
Pm2 Pm 0.000 0.853 0.706
```

3.
## ZnInNi (PBE-GGA)

Data for a relaxed structure of ZnInNi.

Computed properties:
Fermi-level density of states: 2.49 states/eV per cell
raw total energy: -2.963 eV per atom

Geometry as CIF:
```
data_ZnInNi
_symmetry_space_group_name_H-M 'P 1'
_symmetry_Int_Tables_number 1
_symmetry_space_group_name_Hall 'P 1'
_cell_length_a 4.312
_cell_length_b 4.312
_cell_length_c 4.312
_cell_angle_alpha 60.00
_cell_angle_beta 60.00
_cell_angle_gamma 60.00
loop_
_atom_site_label
_atom_site_type_symbol
_atom_site_fract_x
_atom_site_fract_y
_atom_site_fract_z
Zn1 Zn 0.500 0.500 0.500
In1 In 0.750 0.750 0.750
Ni1 Ni 0.000 0.000 0.000
```

4.
## Cs6WN4 (PBE-GGA)

Data for a relaxed structure of Cs6WN4.

Computed properties:
Fermi-level density of states: 7.14 states/eV per cell
raw total energy: -4.671 eV per atom

Geometry as CIF:
```
data_Cs6WN4
_symmetry_space_group_name_H-M 'P 1'
_symmetry_Int_Tables_number 1
_symmetry_space_group_name_Hall 'P 1'
_cell_length_a 8.930
_cell_length_b 8.930
_cell_length_c 7.918
_cell_angle_alpha 90.00
_cell_angle_beta 90.00
_cell_angle_gamma 90.00
loop_
_atom_site_label
_atom_site_type_symbol
_atom_site_fract_x
_atom_site_fract_y
_atom_site_fract_z
N1 N 0.318 0.500 0.629
N2 N 0.182 0.000 0.871
N3 N 0.000 0.818 0.129
N4 N 0.682 0.500 0.629
N5 N 0.500 0.682 0.371
N6 N 0.000 0.182 0.129
N7 N 0.500 0.318 0.371
N8 N 0.818 0.000 0.871
Cs1 Cs 0.289 0.711 0.000
Cs2 Cs 0.500 0.000 0.235
Cs3 Cs 0.289 0.289 0.000
Cs4 Cs 0.711 0.711 0.000
Cs5 Cs 0.000 0.500 0.765
Cs6 Cs 0.000 0.500 0.265
Cs7 Cs 0.789 0.789 0.500
Cs8 Cs 0.500 0.000 0.735
Cs9 Cs 0.789 0.211 0.500
Cs10 Cs 0.211 0.789 0.500
Cs11 Cs 0.711 0.289 0.000
Cs12 Cs 0.211 0.211 0.500
W1 W 0.500 0.500 0.500
W2 W 0.000 0.000 0.000
```